Ba8Ge3HI3, optimized geometry, DFT PBE; VASP energy = -0.2424 Ry/atom; calculated density = 4.1 Mg/m³
1.0
9.657 0.000 0.000
-4.829 8.372 -0.033
0.000 -5.552 8.483
Ge Ba I H
3 8 3 1
Direct
0.000 0.500 0.500
0.500 0.500 0.500
0.500 0.000 0.500
0.237 0.967 0.705
0.739 0.477 0.716
0.763 0.033 0.295
0.270 0.033 0.296
0.261 0.523 0.284
0.763 0.527 0.296
0.730 0.967 0.704
0.237 0.473 0.704
0.000 0.000 0.000
0.500 0.500 0.000
0.000 0.500 0.000
0.000 0.000 0.500